The following is a DFT calculation (PBE-GGA) of HoAlTlAg after structural relaxation.

Cell lengths 5.0041, 5.0041, 5.0041 Å; angles 60.00, 60.00, 60.00 degrees
Last column: nearest neighbours and their distance in Å.
Positions (direct):
Ho 0.0000 0.0000 0.0000  4 Ag 3.06, 4 Tl 3.06
Al 0.5000 0.5000 0.5000  4 Ag 3.06, 4 Tl 3.06
Tl 0.2500 0.2500 0.2500  4 Ho 3.06, 4 Al 3.06
Ag 0.7500 0.7500 0.7500  4 Al 3.06, 4 Ho 3.06

Values from the calculation:
SG: F-43m
ΔE_f in meV per atom: -148
VASP energy in eV/cell: -14.13

---

The following is a DFT calculation (PBE-GGA) of CaDy2Ga after structural relaxation.

Cell lengths 6.5221, 6.5221, 6.5221 Å; angles 44.28, 44.28, 44.28 degrees
Last column: nearest neighbours and their distance in Å.
Positions (direct):
Ca 0.0000 0.0000 0.0000  6 Dy 3.45
Dy 0.2217 0.2217 0.2217  3 Ga 3.00
Dy 0.7783 0.7783 0.7783  3 Ga 3.00
Ga 0.5000 0.5000 0.5000  6 Dy 3.00

Values from the calculation:
SG: R-3m
ΔE_f in meV per atom: -46
VASP energy in eV/cell: -14.42
Energy above the most stable polymorph in this dataset in meV per atom: 190

---

The following is a DFT calculation (PBE-GGA) of Tb2ReHg after structural relaxation.

Cell lengths 3.5101, 3.5101, 7.5949 Å; angles 90.00, 90.00, 90.00 degrees
Last column: nearest neighbours and their distance in Å.
Positions (direct):
Tb 0.0000 0.0000 0.2182  4 Re 2.98, 4 Hg 3.28, 1 Tb 3.31
Tb 0.0000 0.0000 0.7818  4 Re 2.98, 4 Hg 3.28, 1 Tb 3.31
Re 0.5000 0.5000 0.0000  8 Tb 2.98
Hg 0.5000 0.5000 0.5000  8 Tb 3.28, 4 Hg 3.51

Values from the calculation:
SG: P4/mmm
ΔE_f in meV per atom: -114
VASP energy in eV/cell: -22.47

---

The following is a DFT calculation (PBE-GGA) of KPtSe2 after structural relaxation.

Cell lengths 7.9905, 7.9905, 7.9905 Å; angles 154.38, 153.39, 37.27 degrees
Last column: nearest neighbours and their distance in Å.
Positions (direct):
K 0.0000 0.0000 0.0000  6 Se 3.25-3.30, 2 K 3.54
Pt 0.7483 0.2483 0.5000  6 Se 2.49-2.77
Se 0.3192 0.8192 0.5000  4 Pt 2.77
Se 0.6332 0.6332 0.0000  2 Pt 2.49

Values from the calculation:
SG: Imm2
Formation energy from raw total energies in eV/atom: -0.2635
VASP energy in eV/cell: -15.16

---

The following is a DFT calculation (PBE-GGA) of Ce8Sn3Bi2 after structural relaxation.

Cell lengths 8.8616, 8.8616, 6.3303 Å; angles 91.34, 91.34, 55.00 degrees
Last column: nearest neighbours and their distance in Å.
Positions (direct):
Ce 0.0573 0.7199 0.1002  1 Ce 2.76
Ce 0.0792 0.0792 0.4104  1 Ce 2.76, 2 Sn 3.04
Ce 0.2801 0.9427 0.8998  1 Ce 2.76
Ce 0.3263 0.3263 0.6909  2 Bi 3.25-3.37, 3 Sn 3.32
Ce 0.6737 0.6737 0.3091  2 Bi 3.25-3.37, 3 Sn 3.32
Ce 0.7199 0.0573 0.1002  1 Ce 2.76
Ce 0.9208 0.9208 0.5896  1 Ce 2.76, 2 Sn 3.04
Ce 0.9427 0.2801 0.8998  1 Ce 2.76
Sn 0.3308 0.6692 0.5000  1 Sn 2.77, 2 Ce 3.04
Sn 0.5000 0.5000 0.0000  6 Ce 3.30-3.32, 4 Sn 3.45
Sn 0.6692 0.3308 0.5000  1 Sn 2.77, 2 Ce 3.04
Bi 0.2640 0.2640 0.1969  7 Ce 3.24-3.41
Bi 0.7360 0.7360 0.8031  7 Ce 3.24-3.41

Values from the calculation:
SG: C2/m
ΔE_f in meV per atom: -280
VASP energy in eV/cell: -70.89

---

Repeat the fourth record exactly.
The following is a DFT calculation (PBE-GGA) of KPtSe2 after structural relaxation.

Cell lengths 7.9905, 7.9905, 7.9905 Å; angles 154.38, 153.39, 37.27 degrees
Last column: nearest neighbours and their distance in Å.
Positions (direct):
K 0.0000 0.0000 0.0000  6 Se 3.25-3.30, 2 K 3.54
Pt 0.7483 0.2483 0.5000  6 Se 2.49-2.77
Se 0.3192 0.8192 0.5000  4 Pt 2.77
Se 0.6332 0.6332 0.0000  2 Pt 2.49

Values from the calculation:
SG: Imm2
Formation energy from raw total energies in eV/atom: -0.2635
VASP energy in eV/cell: -15.16